1.
Density functional theory data (PBE) for an optimized crystal structure of EuHoSe2.

Computed properties:
total moment = 6.99 μB per formula unit
formation energy from raw total energies = -182.5 kJ per mole of atoms

abc: 4.1503 4.1503 20.6996
angles: 90.00 90.00 120.00
Space group R-3m (No. 166, hexagonal axes)
Unique sites:
Eu 0.0000 0.0000 0.0000 [3 per cell]
Ho 0.0000 0.0000 0.5000 [3 per cell]
Se 0.0000 0.0000 0.2448 [6 per cell]

=====

2.
Density functional theory data (PBE) for an optimized crystal structure of KCrAs2.

Computed properties:
polymorph energy (0 for the lowest one) = 0.37 eV per formula unit
DFT formation energy = -0.091 eV per atom
total moment = 0.00 μB per formula unit

abc: 3.3204 3.3204 25.5479
angles: 90.00 90.00 120.00
Space group R-3m (No. 166, hexagonal axes)
Unique sites:
K 0.0000 0.0000 0.0000 [3 per cell]
Cr 0.0000 0.0000 0.5000 [3 per cell]
As 0.0000 0.0000 0.2284 [6 per cell]

=====

3.
Density functional theory data (PBE) for an optimized crystal structure of TiAu2Cl.

Computed properties:
polymorph energy (0 for the lowest one) = 0.00 eV per formula unit
total moment = 0.98 μB per formula unit
formation energy from raw total energies = -14.2 kJ per mole of atoms

abc: 8.5833 8.5833 4.8359
angles: 90.00 90.00 90.00
Space group I-42d (No. 122)
Unique sites:
Ti 0.0000 0.0000 0.0000 [4 per cell]
Au 0.1745 0.2500 0.1250 [8 per cell]
Cl 0.0000 0.0000 0.5000 [4 per cell]

=====

The lowest total moment belongs to which entry?
KCrAs2

=====

Number 1 is which compound?
EuHoSe2

=====

Which formula does entry 1 have?
EuHoSe2